Record 1
Below is a relaxed structure of BeCoRu2, with properties calculated at the PBE-GGA level.

abc: 2.8921 3.9535 4.2899
angles: 90.00 90.00 90.00
Space group Pmmm (No. 47)
Unique sites:
1 Be 0.0000 0.0000 0.0000 x1
2 Co 0.5000 0.0000 0.5000 x1
3 Ru 0.0000 0.5000 0.5000 x1
4 Ru 0.5000 0.5000 0.0000 x1

energy = -7.152 eV/atom
energy relative to the elements = 194 meV/atom
N(E_F) = 1.06 states/eV per atom

---

Record 2
Below is a relaxed structure of CsNa2AgBi, with properties calculated at the PBE-GGA level.

abc: 6.1168 6.1168 5.8035
angles: 90.00 90.00 90.00
Space group P4/mmm (No. 123)
Unique sites:
1 Cs 0.0000 0.0000 0.0000 x1
2 Na 0.0000 0.5000 0.5000 x2
3 Ag 0.5000 0.5000 0.0000 x1
4 Bi 0.5000 0.5000 0.5000 x1

excess energy over the best structure of this formula in the dataset = 0 meV/atom
energy = -2.145 eV/atom
energy relative to the elements = -101 meV/atom
N(E_F) = 0.44 states/eV per atom

---

no.,spin magnetization (μB/cell)
1,2.149
2,0.000